No. 1
A geometry-optimized YHoTe2 structure, computed with PBE.

abc: 4.4602 6.8482 9.7154
angles: 90.00 90.01 90.00
Space group P2_1 (No. 4)
Symmetry-distinct sites (fractional):
Y  0.2491  0.0000  0.0851 [2 per cell]
Ho  0.2504  0.1565  0.6769 [2 per cell]
Te  0.2496  0.9111  0.4107 [2 per cell]
Te  0.2509  0.7772  0.8234 [2 per cell]

Calculated values
Energy relative to the elements, uncorrected   -0.94 eV per atom

***

No. 2
A geometry-optimized Pr4Y6Tm structure, computed with PBE.

abc: 5.8063 9.7786 26.0860
angles: 90.00 90.00 90.00
Space group Cmcm (No. 63)
Symmetry-distinct sites (fractional):
Pr  0.0000  0.0306  0.1227 [8 per cell]
Pr  0.0000  0.3440  0.0458 [8 per cell]
Y  0.0000  0.0000  0.0000 [4 per cell]
Y  0.0000  0.0181  0.2500 [4 per cell]
Y  0.0000  0.3095  0.6079 [8 per cell]
Y  0.0000  0.3554  0.1838 [8 per cell]
Tm  0.0000  0.3159  0.7500 [4 per cell]

Calculated values
Formation energy from the elements   0.117 eV per atom

***

No. 3
A geometry-optimized Pa3Se structure, computed with PBE.

abc: 4.4461 4.4461 4.4461
angles: 90.00 90.00 90.00
Space group Pm-3m (No. 221)
Symmetry-distinct sites (fractional):
Pa  0.0000  0.0000  0.5000 [3 per cell]
Se  0.5000  0.5000  0.5000 [1 per cell]

Calculated values
Energy relative to the elements, uncorrected   -0.42 eV per atom

***

No. 4
A geometry-optimized RbBaNa2Au structure, computed with PBE.

abc: 5.9627 5.9627 6.4708
angles: 90.00 90.00 90.00
Space group P4/mmm (No. 123)
Symmetry-distinct sites (fractional):
Rb  0.0000  0.0000  0.0000 [1 per cell]
Ba  0.5000  0.5000  0.0000 [1 per cell]
Na  0.0000  0.5000  0.5000 [2 per cell]
Au  0.0000  0.0000  0.5000 [1 per cell]

Calculated values
Formation energy from the elements   0.020 eV per atom

***

No. 5
A geometry-optimized CsNbZn2Cr structure, computed with PBE.

abc: 5.2644 5.2644 6.0172
angles: 90.00 90.00 90.00
Space group P4/mmm (No. 123)
Symmetry-distinct sites (fractional):
Cs  0.0000  0.0000  0.0000 [1 per cell]
Nb  0.0000  0.0000  0.5000 [1 per cell]
Zn  0.0000  0.5000  0.5000 [2 per cell]
Cr  0.5000  0.5000  0.0000 [1 per cell]

Calculated values
Formation energy from the elements   1.552 eV per atom

***

No. 6
A geometry-optimized NbGaAu3 structure, computed with PBE.

abc: 4.7811 4.7811 4.7811
angles: 90.00 90.00 90.00
Space group Pm-3m (No. 221)
Symmetry-distinct sites (fractional):
Nb  0.0000  0.0000  0.0000 [1 per cell]
Ga  0.5000  0.5000  0.5000 [1 per cell]
Au  0.0000  0.5000  0.5000 [3 per cell]

Calculated values
Formation energy from the elements   0.679 eV per atom

***

In eV/cell, the E values for the records above are, in order, -42.1, -244.4, -33.6, -8.7, -15.3, -19.5.